# 1
3
Lattice="5.085 0.000 0.000 2.543 4.404 0.000 2.543 1.468 4.152" Properties=species:S:1:pos:R:3 comment="YTlPb SCAN PBEsol geometry" relative_energy_ev_per_atom=0.1759 dos_ef_per_ev_cell=2.11 total_magnetization_mub_per_fu=0.00 pbc="T T T"
Pb 5.085 2.936 2.076
Tl 2.543 1.468 1.038
Y 0.000 0.000 0.000

***

# 2
5
Lattice="-5.000 -1.123 2.596 -2.440 -0.954 -5.112 1.430 -5.552 0.353" Properties=species:S:1:pos:R:3 comment="BiTe3Rh SCAN PBEsol geometry" e_form_raw_ev_per_atom=1.30 dos_ef_per_ev_cell=6.64 total_magnetization_mub_per_fu=2.98 pbc="T T T"
Te -1.220 -0.477 -2.556
Te 0.715 -2.776 0.176
Te -2.500 -0.561 1.298
Rh -3.005 -3.814 -1.081
Bi 0.000 0.000 0.000

***

# 3
4
Lattice="4.800 0.000 0.000 2.400 4.157 0.000 2.400 1.386 3.919" Properties=species:S:1:pos:R:3 comment="KScPd2 SCAN PBEsol geometry" dos_ef_per_ev_cell=1.51 total_energy_ev_per_cell=-88.67 total_magnetization_mub_per_fu=0.00 pbc="T T T"
Sc 4.800 2.771 1.959
K 0.000 0.000 0.000
Pd 2.400 1.386 0.980
Pd 7.199 4.157 2.939

***

# 4
4
Lattice="-0.827 0.173 4.516 -3.647 -2.177 1.752 0.588 -3.750 2.588" Properties=species:S:1:pos:R:3 comment="BP2Pb SCAN PBEsol geometry" dos_ef_per_ev_cell=1.98 total_energy_ev_per_cell=-97.95 total_magnetization_mub_per_fu=0.00 pbc="T T T"
Pb -1.943 -2.877 4.428
P -0.972 -1.439 2.214
P -2.915 -4.316 6.643
B 0.000 0.000 0.000

***

# 5
24
Lattice="4.748 0.000 0.000 0.000 5.492 0.000 0.000 0.000 13.587" Properties=species:S:1:pos:R:3 comment="IrPt3 SCAN PBEsol geometry" dos_ef_per_ev_cell=30.67 total_energy_ev_per_cell=-1686.99 total_magnetization_mub_per_fu=0.00 pbc="T T T"
Ir 2.395 2.746 6.793
Ir 3.956 2.746 2.290
Ir 3.956 2.746 11.297
Ir 2.353 0.000 0.000
Ir 0.792 0.000 9.083
Ir 0.792 0.000 4.504
Pt 1.578 4.116 2.268
Pt 1.578 4.116 11.319
Pt 0.032 4.123 6.793
Pt 4.716 4.115 0.000
Pt 3.170 4.122 9.062
Pt 3.170 4.122 4.525
Pt 2.366 2.746 0.000
Pt 0.800 2.746 9.072
Pt 0.800 2.746 4.515
Pt 1.578 1.376 2.268
Pt 1.578 1.376 11.319
Pt 0.032 1.369 6.793
Pt 4.716 1.377 0.000
Pt 3.170 1.370 9.062
Pt 3.170 1.370 4.525
Pt 2.383 0.000 6.793
Pt 3.948 0.000 2.278
Pt 3.948 0.000 11.308

***

# 6
4
Lattice="4.337 0.000 0.000 0.000 4.597 0.000 -2.169 0.000 5.717" Properties=species:S:1:pos:R:3 comment="Sr2HgPt SCAN PBEsol geometry" dos_ef_per_ev_cell=1.84 total_energy_ev_per_cell=-186.09 total_magnetization_mub_per_fu=0.00 pbc="T T T"
Sr 0.000 0.000 0.203
Sr 2.169 2.299 2.695
Hg 0.000 2.299 5.096
Pt 0.000 0.000 3.439

***

# 7
5
Lattice="-0.171 -4.406 2.604 1.390 -2.820 -4.681 5.461 0.551 1.290" Properties=species:S:1:pos:R:3 comment="KScSiBr2 SCAN PBEsol geometry" e_form_raw_ev_per_atom=-0.16 dos_ef_per_ev_cell=3.21 total_magnetization_mub_per_fu=0.00 pbc="T T T"
Sc -0.085 -2.203 1.302
K 3.340 -3.338 -0.394
Si 0.000 0.000 0.000
Br 2.731 0.275 0.645
Br 0.695 -1.410 -2.340

***

# 8
5
Lattice="4.471 0.000 0.000 0.000 4.471 0.000 0.000 0.000 4.471" Properties=species:S:1:pos:R:3 comment="CaFe3Ge SCAN PBEsol geometry" dos_ef_per_ev_cell=6.04 total_energy_ev_per_cell=-80.53 total_magnetization_mub_per_fu=7.96 pbc="T T T"
Ge 0.000 0.000 0.000
Ca 2.236 2.236 2.236
Fe 0.000 2.236 0.000
Fe 0.000 0.000 2.236
Fe 2.236 0.000 0.000

***

# 9
4
Lattice="-0.665 1.683 2.496 2.308 -1.356 1.529 4.051 4.608 -2.029" Properties=species:S:1:pos:R:3 comment="FeCuAs2 SCAN PBEsol geometry" dos_ef_per_ev_cell=2.17 total_energy_ev_per_cell=-73.24 total_magnetization_mub_per_fu=2.44 pbc="T T T"
As 3.681 4.188 -1.844
As 2.190 1.720 1.327
Cu 2.105 2.395 -1.054
Fe 3.794 3.544 0.524

***

# 10
10
Lattice="5.864 0.000 -0.024 2.904 5.129 0.021 1.939 0.022 6.443" Properties=species:S:1:pos:R:3 comment="Ni2P2Se3S3 SCAN PBEsol geometry" e_form_raw_ev_per_atom=-0.35 total_magnetization_mub_per_fu=0.01 pbc="T T T"
Ni 2.912 1.692 0.037
Ni 5.876 3.469 0.042
P 8.806 5.061 1.070
P 1.860 0.032 5.324
Se 4.839 1.800 1.583
Se 2.960 1.900 4.896
Se 5.900 3.312 4.885
S 4.957 5.105 1.461
S 5.695 0.044 5.020
S 7.789 3.320 1.440

***

# 11
32
Lattice="6.567 0.000 0.000 0.000 6.567 0.000 0.000 0.000 13.554" Properties=species:S:1:pos:R:3 comment="Mg4AlSi3 SCAN PBEsol geometry" e_form_raw_ev_per_atom=-0.03 dos_ef_per_ev_cell=9.91 total_magnetization_mub_per_fu=0.04 pbc="T T T"
Mg 5.345 1.008 1.322
Mg 1.222 1.008 8.099
Mg 5.345 5.559 8.099
Mg 1.222 5.559 1.322
Mg 4.292 2.062 8.099
Mg 2.275 2.062 1.322
Mg 4.292 4.505 1.322
Mg 2.275 4.505 8.099
Mg 4.505 2.275 12.232
Mg 2.062 2.275 5.455
Mg 4.505 4.292 5.455
Mg 2.062 4.292 12.232
Mg 5.559 1.222 5.455
Mg 1.008 1.222 12.232
Mg 5.559 5.345 12.232
Mg 1.008 5.345 5.455
Al 0.000 3.283 2.927
Al 0.000 3.283 9.704
Al 3.283 0.000 10.627
Al 3.283 0.000 3.850
Si 0.000 3.283 0.227
Si 0.000 3.283 7.004
Si 3.283 0.000 13.327
Si 3.283 0.000 6.550
Si 4.140 2.427 3.388
Si 2.427 2.427 10.165
Si 4.140 4.140 10.165
Si 2.427 4.140 3.388
Si 5.710 0.857 10.165
Si 0.857 0.857 3.388
Si 5.710 5.710 3.388
Si 0.857 5.710 10.165

***

# 12
4
Lattice="-2.251 -3.732 0.456 2.007 -3.602 1.484 -0.919 -1.529 4.002" Properties=species:S:1:pos:R:3 comment="CdTcRh2 SCAN PBEsol geometry" dos_ef_per_ev_cell=4.42 total_energy_ev_per_cell=-131.44 total_magnetization_mub_per_fu=0.76 pbc="T T T"
Cd -0.582 -4.431 2.971
Rh 0.000 0.000 0.000
Rh -0.872 -6.646 4.456
Tc -0.291 -2.215 1.485

***

Repeat the third record exactly.
4
Lattice="4.800 0.000 0.000 2.400 4.157 0.000 2.400 1.386 3.919" Properties=species:S:1:pos:R:3 comment="KScPd2 SCAN PBEsol geometry" dos_ef_per_ev_cell=1.51 total_energy_ev_per_cell=-88.67 total_magnetization_mub_per_fu=0.00 pbc="T T T"
Sc 4.800 2.771 1.959
K 0.000 0.000 0.000
Pd 2.400 1.386 0.980
Pd 7.199 4.157 2.939